No. 1
A relaxed MnTcBr2 crystal, computed with GGA-PBE.

Unit cell a=3.525 b=3.525 c=8.540 alpha=90.00 beta=90.00 gamma=123.28
Each line ends with the local moment (μB).
Atoms (fractional coordinates):
1 Br 0.000 0.000 0.009  0.08
2 Br 0.000 0.000 0.491  0.08
3 Mn 0.500 0.500 0.250  4.07
4 Tc 0.500 0.500 0.750  2.96

Computed properties:
Magnetic moment (μB/f.u.): 7.81
Crystal system: orthorhombic
Uncorrected formation energy (meV per atom): 719
DOS at the Fermi energy (states/eV/f.u.): 3.140
Energy relative to the lowest polymorph listed for this composition (eV per atom): 0.6351
E_tot (eV per atom): -5.001
Symmetry: Cmmm, No. 65


No. 2
A relaxed Li2ScZnO crystal, computed with GGA-PBE.

Unit cell a=4.190 b=4.190 c=4.151 alpha=90.00 beta=90.00 gamma=90.00
Each line ends with the local moment (μB).
Atoms (fractional coordinates):
1 Sc 0.000 0.000 0.500  0.10
2 Zn 0.500 0.500 0.500  0.02
3 O 0.000 0.000 0.000  0.00
4 Li 0.000 0.500 0.000  0.01
5 Li 0.500 0.000 0.000  0.01

Computed properties:
Magnetic moment (μB/f.u.): 0.27
Crystal system: tetragonal
Uncorrected formation energy (meV per atom): -1145
DOS at the Fermi energy (states/eV/f.u.): 4.087
E_tot (eV per atom): -4.423
Symmetry: P4/mmm, No. 123


No. 3
A relaxed Ti3MnS crystal, computed with GGA-PBE.

Unit cell a=4.468 b=4.468 c=4.468 alpha=90.00 beta=90.00 gamma=90.00
Atoms (fractional coordinates):
1 S 0.500 0.500 0.500
2 Mn 0.000 0.000 0.000
3 Ti 0.000 0.500 0.000
4 Ti 0.000 0.000 0.500
5 Ti 0.500 0.000 0.000

Computed properties:
Magnetic moment (μB/f.u.): 0.00
Crystal system: cubic
Uncorrected formation energy (meV per atom): 315
DOS at the Fermi energy (states/eV/f.u.): 6.574
Energy relative to the lowest polymorph listed for this composition (eV per atom): 0.5391
E_tot (eV per atom): -7.081
Symmetry: Pm-3m, No. 221


No. 4
A relaxed Ge3ICl crystal, computed with GGA-PBE.

Unit cell a=5.205 b=5.205 c=5.205 alpha=90.00 beta=90.00 gamma=90.00
Each line ends with the local moment (μB).
Atoms (fractional coordinates):
1 I 0.500 0.500 0.500  0.14
2 Ge 0.000 0.500 0.000  0.20
3 Ge 0.000 0.000 0.500  0.16
4 Ge 0.500 0.000 0.000  0.18
5 Cl 0.000 0.000 0.000  0.01

Computed properties:
Magnetic moment (μB/f.u.): 1.55
Crystal system: cubic
Uncorrected formation energy (meV per atom): 802
DOS at the Fermi energy (states/eV/f.u.): 6.151
Energy relative to the lowest polymorph listed for this composition (eV per atom): 0.0000
E_tot (eV per atom): -2.647
Symmetry: Pm-3m, No. 221


No. 5
A relaxed Ta2MnNi crystal, computed with GGA-PBE.

Unit cell a=4.082 b=3.046 c=4.878 alpha=75.54 beta=90.00 gamma=90.00
Atoms (fractional coordinates):
1 Mn 0.000 0.697 0.444
2 Ni 0.500 0.554 0.799
3 Ta 0.000 0.006 0.916
4 Ta 0.500 0.244 0.342

Computed properties:
Magnetic moment (μB/f.u.): 0.00
Energy relative to the elements (eV/f.u.): -0.4
Crystal system: monoclinic
DOS at the Fermi energy (states/eV/f.u.): 3.071
Energy relative to the lowest polymorph listed for this composition (eV per atom): 0.0309
E_tot (eV per atom): -9.774
Symmetry: Pm, No. 6


No. 6
A relaxed Li2Ca3Mg3Cd crystal, computed with GGA-PBE.

Unit cell a=3.609 b=8.936 c=8.936 alpha=120.00 beta=90.00 gamma=90.00
Atoms (fractional coordinates):
1 Li 0.500 0.667 0.333
2 Li 0.500 0.333 0.667
3 Ca 0.500 0.713 0.000
4 Ca 0.500 0.000 0.713
5 Ca 0.500 0.287 0.287
6 Mg 0.000 0.629 0.629
7 Mg 0.000 0.000 0.371
8 Mg 0.000 0.371 0.000
9 Cd 0.000 0.000 0.000

Computed properties:
Magnetic moment (μB/f.u.): 0.00
Energy relative to the elements (eV/f.u.): -0.6
Crystal system: hexagonal
DOS at the Fermi energy (states/eV/f.u.): 5.588
E_tot (eV per atom): -1.792
Symmetry: P-62m, No. 189


No. 7
A relaxed PmAlZnPt2 crystal, computed with GGA-PBE.

Unit cell a=4.003 b=4.003 c=6.628 alpha=107.58 beta=107.58 gamma=90.00
Atoms (fractional coordinates):
1 Pm 0.000 0.000 0.000
2 Al 0.750 0.250 0.500
3 Zn 0.250 0.750 0.500
4 Pt 0.615 0.615 0.229
5 Pt 0.385 0.385 0.771

Computed properties:
Magnetic moment (μB/f.u.): 0.00
Energy relative to the elements (eV/f.u.): -4.8
Crystal system: tetragonal
DOS at the Fermi energy (states/eV/f.u.): 2.586
E_tot (eV per atom): -5.322
Symmetry: I-4m2, No. 119